Mg2InPb: relaxed, PBEsol.

## Properties
DFT formation energy = -0.09 eV per atom
Space group = C2/m, No. 12
Volume = 24.0 Å³/atom
Fermi-level density of states = 0.426 states/eV/atom

Structure (POSCAR):
```
Mg2InPb
1.0
6.784 0.000 0.000
0.000 8.550 0.000
-0.009 0.000 3.308
Mg In Pb
4 2 2
Direct
0.250 0.250 0.000
0.250 0.750 0.000
0.750 0.250 0.000
0.750 0.750 0.000
0.000 0.000 0.500
0.500 0.500 0.500
0.000 0.500 0.500
0.500 0.000 0.500
```